Here is a relaxed LiSiAu2 crystal from the Alexandria database. Energies are from PBE.

crystal system = tetragonal
formation energy without anion corrections = -0.094 eV/atom
DOS(E_F) = 0.37 states/eV/atom
calculated total energy = -14.3 eV per formula unit
size of the total moment = 0.00 μB/f.u.
ρ = 10.9 g/cm3

a = 2.847 Å, b = 2.847 Å, c = 8.083 Å
α = 90.00°, β = 90.00°, γ = 90.04°
Element x y z (fractional)
Au  0.000  0.000  0.978
Au  0.500  0.500  0.270
Li  0.000  0.000  0.505
Si  0.500  0.500  0.747